6
Lattice="-2.9116 2.9116 2.5959 2.9116 -2.9116 2.5959 2.9116 2.9116 -2.5959" Properties=species:S:1:pos:R:3 comment="GGA-PBE Co2Ag, relaxed" dos_at_fermi_per_ev_cell=5.86 space_group="No. 140" total_energy_ev_per_cell=-29.56 rho_g_cm3=8.517 e_form_ev_per_atom=0.761 polymorph_energy_ev_per_fu=1.48 pbc="T T T"
Co 0.7529 2.1586 0.0000
Co -0.7529 2.1586 2.5959
Co 3.6645 0.7529 0.0000
Co 2.1586 0.7529 2.5959
Ag 0.0000 0.0000 1.2980
Ag 0.0000 0.0000 3.8939

4
Lattice="3.3066 0.0000 0.0000 0.0000 3.3066 0.0000 0.0000 0.0000 6.2564" Properties=species:S:1:pos:R:3 comment="GGA-PBE AgTeRh2, relaxed" raw_formation_energy_mev_per_atom=56 dos_at_fermi_per_ev_cell=3.28 space_group="No. 123" total_energy_ev_per_cell=-20.47 rho_g_cm3=10.712 pbc="T T T"
Ag 1.6533 1.6533 3.1282
Te 1.6533 1.6533 0.0000
Rh 0.0000 0.0000 4.7746
Rh 0.0000 0.0000 1.4818

18
Lattice="4.1374 0.0000 0.0000 -2.0687 8.2297 0.0000 0.0000 0.0000 12.3885" Properties=species:S:1:pos:R:3 comment="GGA-PBE LiLa2SbS5, relaxed" raw_formation_energy_mev_per_atom=-1416 dos_at_fermi_per_ev_cell=1.76 space_group="No. 36" total_energy_ev_per_cell=-98.55 rho_g_cm3=4.463 pbc="T T T"
Li 2.0687 4.7003 6.5122
Li 0.0000 3.5293 0.3179
La 2.0687 5.7756 9.8700
La 0.0000 1.8643 8.5270
La 0.0000 2.4541 3.6757
La 2.0687 6.3654 2.3328
Sb 2.0687 0.6078 11.8858
Sb 0.0000 7.6219 5.6916
S 0.0000 6.0720 12.3688
S 2.0687 2.9286 10.5058
S 0.0000 7.9976 9.4303
S 0.0000 4.6594 8.1878
S 2.0687 7.3148 7.2508
S 2.0687 2.1577 6.1746
S 0.0000 5.3011 4.3115
S 2.0687 0.2321 3.2361
S 2.0687 3.5703 1.9935
S 0.0000 0.9149 1.0566

5
Lattice="3.8819 0.0000 0.0000 0.0000 3.8819 0.0000 0.0000 0.0000 3.4990" Properties=species:S:1:pos:R:3 comment="GGA-PBE CoCu2HPd, relaxed" dos_at_fermi_per_ev_cell=5.91 space_group="No. 123" total_energy_ev_per_cell=-23.29 rho_g_cm3=9.242 pbc="T T T"
H 0.0000 0.0000 0.0000
Co 0.0000 0.0000 1.7495
Cu 0.0000 1.9410 0.0000
Cu 1.9410 0.0000 0.0000
Pd 1.9410 1.9410 1.7495

6
Lattice="-2.4876 0.8348 5.0364 -2.6432 -2.8275 -4.1556 4.1065 -3.5378 -1.7217" Properties=species:S:1:pos:R:3 comment="GGA-PBE HoPdRu, relaxed" dos_at_fermi_per_ev_cell=6.58 space_group="No. 12" total_energy_ev_per_cell=-39.77 rho_g_cm3=11.044 e_form_ev_per_atom=-0.279 pbc="T T T"
Ho 1.3259 -4.6831 -2.8715
Ho -2.3503 -0.8474 2.0306
Pd 2.0532 -1.7689 -0.8608
Pd -0.5122 -2.7653 -0.4204
Ru -2.3125 -3.1803 -3.0271
Ru 1.2881 -2.3502 2.1862

4
Lattice="-1.5466 3.1467 -3.3384 -4.1954 2.3321 0.6313 -0.0110 4.7439 0.9662" Properties=species:S:1:pos:R:3 comment="GGA-PBE NaCdIrPb, relaxed" dos_at_fermi_per_ev_cell=2.21 space_group="No. 216" total_energy_ev_per_cell=-14.44 rho_g_cm3=11.068 e_form_ev_per_atom=0.091 pbc="T T T"
Pb -4.3148 7.6670 -1.3057
Na 0.0000 0.0000 0.0000
Ir -2.8765 5.1114 -0.8705
Cd -1.4383 2.5557 -0.4352